[1]
Computed, not measured: a relaxed BiSb2PdN crystal at the PBE level of DFT.

Values from the calculation:
The space-group type is P4/mmm, No. 123. As for the uncorrected formation energy: 446 meV per atom. Its density of states at the Fermi level is 0.27 states/eV/atom. As for the calculated volume: 104.9 Å³/f.u.

a b c (Å): 4.955 4.274 4.955
angles (deg): 90.00 90.00 90.00
Fractional positions:
Sb 0.500 0.000 0.000
Bi 0.500 0.500 0.500
Sb 0.000 0.000 0.500
N 0.000 0.000 0.000
Pd 0.000 0.500 0.000

=====

[2]
Computed, not measured: a relaxed MgP2Cl crystal at the PBE level of DFT.

Values from the calculation:
The space-group type is R-3m, No. 166. As for the uncorrected formation energy: 461 meV per atom. Its density of states at the Fermi level is 0.75 states/eV/atom. As for the calculated volume: 71.8 Å³/f.u.

a b c (Å): 8.553 8.553 8.553
angles (deg): 21.21 21.21 21.21
Fractional positions:
Mg 0.750 0.750 0.750
P 0.497 0.497 0.497
P 0.003 0.003 0.003
Cl 0.250 0.250 0.250

=====

calculated volume of number 2 (MgP2Cl)?
71.8 Å³/f.u.

=====

Repeat the first record exactly.
Computed, not measured: a relaxed BiSb2PdN crystal at the PBE level of DFT.

Values from the calculation:
The space-group type is P4/mmm, No. 123. As for the uncorrected formation energy: 446 meV per atom. Its density of states at the Fermi level is 0.27 states/eV/atom. As for the calculated volume: 104.9 Å³/f.u.

a b c (Å): 4.955 4.274 4.955
angles (deg): 90.00 90.00 90.00
Fractional positions:
Sb 0.500 0.000 0.000
Bi 0.500 0.500 0.500
Sb 0.000 0.000 0.500
N 0.000 0.000 0.000
Pd 0.000 0.500 0.000